1.
# YMg2Sc2 PBE-GGA relaxed
data_YMg2Sc2
_cell_length_a 15.741
_cell_length_b 15.741
_cell_length_c 15.741
_cell_angle_alpha 164.78
_cell_angle_beta 164.78
_cell_angle_gamma 21.59
_space_group_name_H-M_alt 'P 1'
_space_group_IT_number 1
loop_
_space_group_symop_operation_xyz
'x,y,z'
loop_
_atom_site_label
_atom_site_type_symbol
_atom_site_fract_x
_atom_site_fract_y
_atom_site_fract_z
_atom_site_occupancy
Y1 Y 0.121 0.121 0.000 1
Y2 Y 0.879 0.879 0.000 1
Mg1 Mg 0.000 0.500 0.500 1
Mg2 Mg 0.327 0.327 0.000 1
Mg3 Mg 0.500 0.000 0.500 1
Mg4 Mg 0.673 0.673 0.000 1
Sc1 Sc 0.250 0.750 0.500 1
Sc2 Sc 0.426 0.426 0.000 1
Sc3 Sc 0.574 0.574 0.000 1
Sc4 Sc 0.750 0.250 0.500 1
# Space-group type: No. 139
# Energy above the lowest structure with this stoichiometry, kcal/mol of atoms: 6.196
# N(E_F), states/eV/cell: 15.267
# Formation energy, eV/f.u.: 1.14

2.
# Y2MgSc PBE-GGA relaxed
data_Y2MgSc
_cell_length_a 11.404
_cell_length_b 11.404
_cell_length_c 11.404
_cell_angle_alpha 17.28
_cell_angle_beta 17.28
_cell_angle_gamma 17.28
_space_group_name_H-M_alt 'P 1'
_space_group_IT_number 1
loop_
_space_group_symop_operation_xyz
'x,y,z'
loop_
_atom_site_label
_atom_site_type_symbol
_atom_site_fract_x
_atom_site_fract_y
_atom_site_fract_z
_atom_site_occupancy
Y1 Y 0.000 0.000 0.000 1
Y2 Y 0.171 0.171 0.171 1
Mg1 Mg 0.752 0.752 0.752 1
Sc1 Sc 0.586 0.586 0.586 1
# Space-group type: No. 160
# N(E_F), states/eV/cell: 5.903
# Formation energy, eV/f.u.: 0.23

3.
# YMgSc2 PBE-GGA relaxed
data_YMgSc2
_cell_length_a 11.140
_cell_length_b 11.140
_cell_length_c 11.140
_cell_angle_alpha 17.19
_cell_angle_beta 17.19
_cell_angle_gamma 17.19
_space_group_name_H-M_alt 'P 1'
_space_group_IT_number 1
loop_
_space_group_symop_operation_xyz
'x,y,z'
loop_
_atom_site_label
_atom_site_type_symbol
_atom_site_fract_x
_atom_site_fract_y
_atom_site_fract_z
_atom_site_occupancy
Y1 Y 0.000 0.000 0.000 1
Mg1 Mg 0.166 0.166 0.166 1
Sc1 Sc 0.418 0.418 0.418 1
Sc2 Sc 0.582 0.582 0.582 1
# Space-group type: No. 160
# N(E_F), states/eV/cell: 6.643
# Formation energy, eV/f.u.: 0.32

4.
# Y2Mg3Sc PBE-GGA relaxed
data_Y2Mg3Sc
_cell_length_a 3.733
_cell_length_b 3.733
_cell_length_c 11.228
_cell_angle_alpha 90.00
_cell_angle_beta 90.00
_cell_angle_gamma 90.00
_space_group_name_H-M_alt 'P 1'
_space_group_IT_number 1
loop_
_space_group_symop_operation_xyz
'x,y,z'
loop_
_atom_site_label
_atom_site_type_symbol
_atom_site_fract_x
_atom_site_fract_y
_atom_site_fract_z
_atom_site_occupancy
Y1 Y 0.000 0.000 0.173 1
Y2 Y 0.000 0.000 0.827 1
Mg1 Mg 0.500 0.500 0.000 1
Mg2 Mg 0.500 0.500 0.349 1
Mg3 Mg 0.500 0.500 0.651 1
Sc1 Sc 0.000 0.000 0.500 1
# Space-group type: No. 123
# N(E_F), states/eV/cell: 9.073
# Formation energy, eV/f.u.: -0.48

5.
# Y4MgSc PBE-GGA relaxed
data_Y4MgSc
_cell_length_a 6.417
_cell_length_b 6.417
_cell_length_c 6.417
_cell_angle_alpha 60.00
_cell_angle_beta 60.00
_cell_angle_gamma 60.00
_space_group_name_H-M_alt 'P 1'
_space_group_IT_number 1
loop_
_space_group_symop_operation_xyz
'x,y,z'
loop_
_atom_site_label
_atom_site_type_symbol
_atom_site_fract_x
_atom_site_fract_y
_atom_site_fract_z
_atom_site_occupancy
Y1 Y 0.376 0.376 0.376 1
Y2 Y 0.376 0.376 0.873 1
Y3 Y 0.376 0.873 0.376 1
Y4 Y 0.873 0.376 0.376 1
Mg1 Mg 0.000 0.000 0.000 1
Sc1 Sc 0.750 0.750 0.750 1
# Space-group type: No. 216
# Energy above the lowest structure with this stoichiometry, kcal/mol of atoms: 7.230
# N(E_F), states/eV/cell: 5.905
# Formation energy, eV/f.u.: 1.89

6.
# YMg2Sc2 PBE-GGA relaxed
data_YMg2Sc2
_cell_length_a 7.764
_cell_length_b 7.764
_cell_length_c 7.764
_cell_angle_alpha 147.22
_cell_angle_beta 147.22
_cell_angle_gamma 47.03
_space_group_name_H-M_alt 'P 1'
_space_group_IT_number 1
loop_
_space_group_symop_operation_xyz
'x,y,z'
loop_
_atom_site_label
_atom_site_type_symbol
_atom_site_fract_x
_atom_site_fract_y
_atom_site_fract_z
_atom_site_occupancy
Y1 Y 0.000 0.000 0.000 1
Mg1 Mg 0.250 0.750 0.500 1
Mg2 Mg 0.750 0.250 0.500 1
Sc1 Sc 0.401 0.401 0.000 1
Sc2 Sc 0.599 0.599 0.000 1
# Space-group type: No. 139
# Energy above the lowest structure with this stoichiometry, kcal/mol of atoms: 7.320
# N(E_F), states/eV/cell: 6.948
# Formation energy, eV/f.u.: 1.38

7.
# YMgSc2 PBE-GGA relaxed
data_YMgSc2
_cell_length_a 5.725
_cell_length_b 5.725
_cell_length_c 3.387
_cell_angle_alpha 90.00
_cell_angle_beta 90.00
_cell_angle_gamma 108.43
_space_group_name_H-M_alt 'P 1'
_space_group_IT_number 1
loop_
_space_group_symop_operation_xyz
'x,y,z'
loop_
_atom_site_label
_atom_site_type_symbol
_atom_site_fract_x
_atom_site_fract_y
_atom_site_fract_z
_atom_site_occupancy
Y1 Y 0.000 0.000 0.000 1
Mg1 Mg 0.500 0.500 0.000 1
Sc1 Sc 0.000 0.500 0.500 1
Sc2 Sc 0.500 0.000 0.500 1
# Space-group type: No. 65
# N(E_F), states/eV/cell: 6.082
# Formation energy, eV/f.u.: 0.29

8.
# YMgSc PBE-GGA relaxed
data_YMgSc
_cell_length_a 8.529
_cell_length_b 8.529
_cell_length_c 5.352
_cell_angle_alpha 90.00
_cell_angle_beta 90.00
_cell_angle_gamma 155.87
_space_group_name_H-M_alt 'P 1'
_space_group_IT_number 1
loop_
_space_group_symop_operation_xyz
'x,y,z'
loop_
_atom_site_label
_atom_site_type_symbol
_atom_site_fract_x
_atom_site_fract_y
_atom_site_fract_z
_atom_site_occupancy
Y1 Y 0.095 0.905 0.750 1
Y2 Y 0.905 0.095 0.250 1
Mg1 Mg 0.428 0.572 0.750 1
Mg2 Mg 0.572 0.428 0.250 1
Sc1 Sc 0.229 0.771 0.250 1
Sc2 Sc 0.771 0.229 0.750 1
# Space-group type: No. 63
# Energy above the lowest structure with this stoichiometry, kcal/mol of atoms: 0.201
# N(E_F), states/eV/cell: 9.291
# Formation energy, eV/f.u.: -0.05

9.
# Y5Mg6Sc PBE-GGA relaxed
data_Y5Mg6Sc
_cell_length_a 8.450
_cell_length_b 8.450
_cell_length_c 7.514
_cell_angle_alpha 90.00
_cell_angle_beta 90.00
_cell_angle_gamma 143.18
_space_group_name_H-M_alt 'P 1'
_space_group_IT_number 1
loop_
_space_group_symop_operation_xyz
'x,y,z'
loop_
_atom_site_label
_atom_site_type_symbol
_atom_site_fract_x
_atom_site_fract_y
_atom_site_fract_z
_atom_site_occupancy
Y1 Y 0.000 0.000 0.000 1
Y2 Y 0.331 0.669 0.000 1
Y3 Y 0.334 0.666 0.500 1
Y4 Y 0.666 0.334 0.500 1
Y5 Y 0.669 0.331 0.000 1
Mg1 Mg 0.163 0.837 0.256 1
Mg2 Mg 0.163 0.837 0.744 1
Mg3 Mg 0.500 0.500 0.257 1
Mg4 Mg 0.500 0.500 0.743 1
Mg5 Mg 0.837 0.163 0.256 1
Mg6 Mg 0.837 0.163 0.744 1
Sc1 Sc 0.000 0.000 0.500 1
# Space-group type: No. 65
# N(E_F), states/eV/cell: 17.819
# Formation energy, eV/f.u.: -1.11

10.
# Y6Mg5Sc PBE-GGA relaxed
data_Y6Mg5Sc
_cell_length_a 9.336
_cell_length_b 9.336
_cell_length_c 9.336
_cell_angle_alpha 146.64
_cell_angle_beta 131.35
_cell_angle_gamma 60.27
_space_group_name_H-M_alt 'P 1'
_space_group_IT_number 1
loop_
_space_group_symop_operation_xyz
'x,y,z'
loop_
_atom_site_label
_atom_site_type_symbol
_atom_site_fract_x
_atom_site_fract_y
_atom_site_fract_z
_atom_site_occupancy
Y1 Y 0.083 0.333 0.749 1
Y2 Y 0.248 0.000 0.248 1
Y3 Y 0.416 0.667 0.749 1
Y4 Y 0.584 0.333 0.251 1
Y5 Y 0.752 0.000 0.752 1
Y6 Y 0.917 0.667 0.251 1
Mg1 Mg 0.000 0.500 0.500 1
Mg2 Mg 0.167 0.167 0.000 1
Mg3 Mg 0.337 0.837 0.500 1
Mg4 Mg 0.663 0.163 0.500 1
Mg5 Mg 0.833 0.833 0.000 1
Sc1 Sc 0.500 0.500 0.000 1
# Space-group type: No. 71
# N(E_F), states/eV/cell: 16.816
# Formation energy, eV/f.u.: -0.78

11.
# YMgSc PBE-GGA relaxed
data_YMgSc
_cell_length_a 5.244
_cell_length_b 3.320
_cell_length_c 9.260
_cell_angle_alpha 90.00
_cell_angle_beta 90.00
_cell_angle_gamma 90.00
_space_group_name_H-M_alt 'P 1'
_space_group_IT_number 1
loop_
_space_group_symop_operation_xyz
'x,y,z'
loop_
_atom_site_label
_atom_site_type_symbol
_atom_site_fract_x
_atom_site_fract_y
_atom_site_fract_z
_atom_site_occupancy
Y1 Y 0.250 0.000 0.243 1
Y2 Y 0.750 0.000 0.757 1
Mg1 Mg 0.250 0.500 0.586 1
Mg2 Mg 0.750 0.500 0.414 1
Sc1 Sc 0.250 0.500 0.919 1
Sc2 Sc 0.750 0.500 0.081 1
# Space-group type: No. 51
# Energy above the lowest structure with this stoichiometry, kcal/mol of atoms: 0.771
# N(E_F), states/eV/cell: 8.221
# Formation energy, eV/f.u.: 0.03

12.
# Y4MgSc PBE-GGA relaxed
data_Y4MgSc
_cell_length_a 3.559
_cell_length_b 3.559
_cell_length_c 13.998
_cell_angle_alpha 90.00
_cell_angle_beta 90.00
_cell_angle_gamma 90.00
_space_group_name_H-M_alt 'P 1'
_space_group_IT_number 1
loop_
_space_group_symop_operation_xyz
'x,y,z'
loop_
_atom_site_label
_atom_site_type_symbol
_atom_site_fract_x
_atom_site_fract_y
_atom_site_fract_z
_atom_site_occupancy
Y1 Y 0.000 0.000 0.157 1
Y2 Y 0.000 0.000 0.843 1
Y3 Y 0.500 0.500 0.336 1
Y4 Y 0.500 0.500 0.664 1
Mg1 Mg 0.500 0.500 0.000 1
Sc1 Sc 0.000 0.000 0.500 1
# Space-group type: No. 123
# Energy above the lowest structure with this stoichiometry, kcal/mol of atoms: 0.000
# N(E_F), states/eV/cell: 10.311
# Formation energy, eV/f.u.: 0.01